[1]
Entry from Alexandria: a relaxed structure of CdFe2CuSn (GGA-PBE).

Output
The space group is No. 123. The value obtained for the total moment is 1.150 μB per atom. The formation enthalpy at 0 K is 5.4 eV/f.u.

a = 4.8798 Å, b = 4.7850 Å, c = 4.8798 Å
α = 90.00°, β = 90.00°, γ = 90.00°
Last column: nearest neighbours and their distance in Å.
Element x y z (fractional)
Fe 0.0000 0.0000 0.5000  2 Sn 2.44
Fe 0.5000 0.0000 0.0000  2 Sn 2.44
Sn 0.0000 0.0000 0.0000  2 Cu 2.39, 4 Fe 2.44
Cu 0.0000 0.5000 0.0000  2 Sn 2.39
Cd 0.5000 0.5000 0.5000  8 Fe 3.42, 4 Cu 3.45

[2]
Entry from Alexandria: a relaxed structure of CdFeCu2Sn (GGA-PBE).

Output
The space group is No. 123. Its excess energy over the best structure of this formula in the dataset is 0.235 eV per atom. The value obtained for the total moment is 0.564 μB per atom. The formation enthalpy at 0 K is 5.0 eV/f.u.

a = 4.7456 Å, b = 4.9216 Å, c = 4.7456 Å
α = 90.00°, β = 90.00°, γ = 90.00°
Last column: nearest neighbours and their distance in Å.
Element x y z (fractional)
Fe 0.0000 0.5000 0.0000  2 Cd 2.46
Sn 0.5000 0.5000 0.5000  4 Fe 3.36, 8 Cu 3.42
Cu 0.0000 0.0000 0.5000  2 Cd 2.37
Cu 0.5000 0.0000 0.0000  2 Cd 2.37
Cd 0.0000 0.0000 0.0000  4 Cu 2.37, 2 Fe 2.46

[3]
Entry from Alexandria: a relaxed structure of CdFeCu2Sn (GGA-PBE).

Output
The space group is No. 123. Its excess energy over the best structure of this formula in the dataset is 0.000 eV per atom. The value obtained for the total moment is 0.517 μB per atom. The formation enthalpy at 0 K is 3.8 eV/f.u.

a = 4.5827 Å, b = 4.9696 Å, c = 4.5827 Å
α = 90.00°, β = 90.00°, γ = 90.00°
Last column: nearest neighbours and their distance in Å.
Element x y z (fractional)
Fe 0.0000 0.0000 0.0000  4 Cu 2.29, 2 Cd 2.48
Sn 0.5000 0.5000 0.5000  4 Cd 3.24, 8 Cu 3.38
Cu 0.0000 0.0000 0.5000  2 Fe 2.29
Cu 0.5000 0.0000 0.0000  2 Fe 2.29
Cd 0.0000 0.5000 0.0000  2 Fe 2.48

[4]
Entry from Alexandria: a relaxed structure of CdFeCuTe2 (GGA-PBE).

Output
Its uncorrected formation energy is 2.14 eV per formula unit. The space group is No. 123. The value obtained for the total moment is 0.535 μB per atom.

a = 5.1230 Å, b = 4.6233 Å, c = 5.1230 Å
α = 90.00°, β = 90.00°, γ = 90.00°
Last column: nearest neighbours and their distance in Å.
Element x y z (fractional)
Te 0.0000 0.0000 0.5000  2 Fe 2.56
Te 0.5000 0.0000 0.0000  2 Fe 2.56
Fe 0.0000 0.0000 0.0000  2 Cu 2.31, 4 Te 2.56
Cu 0.0000 0.5000 0.0000  2 Fe 2.31
Cd 0.5000 0.5000 0.5000  8 Te 3.45, 4 Cu 3.62

[5]
Entry from Alexandria: a relaxed structure of Cd2FeCuW (GGA-PBE).

Output
The space group is No. 123. The value obtained for the total moment is 1.074 μB per atom. The formation enthalpy at 0 K is 7.9 eV/f.u.

a = 4.8480 Å, b = 4.3569 Å, c = 4.8480 Å
α = 90.00°, β = 90.00°, γ = 90.00°
Last column: nearest neighbours and their distance in Å.
Element x y z (fractional)
Fe 0.0000 0.0000 0.0000  2 Cu 2.18, 4 Cd 2.42
Cu 0.0000 0.5000 0.0000  2 Fe 2.18
W 0.5000 0.5000 0.5000  8 Cd 3.26, 4 Cu 3.43
Cd 0.0000 0.0000 0.5000  2 Fe 2.42
Cd 0.5000 0.0000 0.0000  2 Fe 2.42

[6]
Entry from Alexandria: a relaxed structure of ZnCd2FeCu (GGA-PBE).

Output
The space group is No. 123. The value obtained for the total moment is 0.451 μB per atom. The formation enthalpy at 0 K is 4.1 eV/f.u.

a = 5.0084 Å, b = 4.6084 Å, c = 5.0084 Å
α = 90.00°, β = 90.00°, γ = 90.00°
Last column: nearest neighbours and their distance in Å.
Element x y z (fractional)
Zn 0.0000 0.5000 0.0000  2 Fe 2.30
Fe 0.0000 0.0000 0.0000  2 Zn 2.30, 4 Cd 2.50
Cu 0.5000 0.5000 0.5000  8 Cd 3.40, 4 Zn 3.54
Cd 0.0000 0.0000 0.5000  2 Fe 2.50
Cd 0.5000 0.0000 0.0000  2 Fe 2.50

no.,volume (Å³ per atom),N(E_F) (states/eV per cell)
1,22.8,8.81
2,22.2,3.29
3,20.9,3.51
4,24.3,3.17
5,20.5,4.08
6,23.1,4.00